(1)
First-principles (PBE) data for LaZnGa2Pd after structural relaxation, as listed in the Alexandria database.

a = 6.0395 Å, b = 6.0395 Å, c = 6.0395 Å
α = 137.36°, β = 137.36°, γ = 61.88°
Sites, in units of the cell vectors:
La 0.0000 0.0000 0.0000
Zn 0.2500 0.7500 0.5000
Ga 0.3784 0.3784 0.0000
Ga 0.6216 0.6216 0.0000
Pd 0.7500 0.2500 0.5000

=====

(2)
First-principles (PBE) data for La2Zn4GaPd3 after structural relaxation, as listed in the Alexandria database.

a = 4.1666 Å, b = 4.1666 Å, c = 11.4068 Å
α = 90.00°, β = 90.00°, γ = 90.00°
Sites, in units of the cell vectors:
La 0.0000 0.5000 0.2459
La 0.5000 0.0000 0.7541
Zn 0.0000 0.0000 0.0000
Zn 0.0000 0.5000 0.6350
Zn 0.5000 0.0000 0.3650
Zn 0.5000 0.5000 0.0000
Ga 0.0000 0.0000 0.5000
Pd 0.0000 0.5000 0.8606
Pd 0.5000 0.0000 0.1394
Pd 0.5000 0.5000 0.5000

=====

Number 1: total energy -20.7 eV/cell, E_form -0.650 eV/atom. Number 2: total energy -39.5 eV/cell, E_form -0.593 eV/atom.